A geometry-optimized RbHfSn2N structure, computed with GGA-PBE.

Computed properties:
- M_tot (μB/f.u.) = 2.68
- ΔE_f (raw) (meV per atom) = 1384
- E_tot (eV per atom) = -4.066
- symmetry = P4/mmm

Lattice parameters (Å, degrees): 5.501 5.501 7.372 90.00 90.00 90.00
Element x y z (fractional)
1 Rb 0.000 0.000 0.000
2 Hf 0.000 0.000 0.500
3 Sn 0.000 0.500 0.500
4 Sn 0.500 0.000 0.500
5 N 0.500 0.500 0.000



A geometry-optimized Rb2HfSnN structure, computed with GGA-PBE.

Computed properties:
- M_tot (μB/f.u.) = 3.06
- ΔE_f (raw) (meV per atom) = 1152
- E_tot (eV per atom) = -3.692
- symmetry = P4/mmm

Lattice parameters (Å, degrees): 6.394 6.394 4.185 90.00 90.00 90.00
Element x y z (fractional)
1 Rb 0.000 0.500 0.000
2 Rb 0.500 0.000 0.000
3 Hf 0.000 0.000 0.500
4 Sn 0.500 0.500 0.500
5 N 0.500 0.500 0.000